# BeTl2Fe

A relaxed structure of BeTl2Fe (GGA-PBE, Alexandria).

Geometry as POSCAR:
```
BeTl2Fe
1.0
-2.4833 -4.7267 6.7810
0.2846 -3.5071 7.8810
-2.4271 -1.7859 8.0877
Be Tl Fe
1 2 1
Cartesian
-1.1565 -2.5049 5.6874
-4.6067 -9.9780 22.6552
-2.3322 -5.0515 11.4694
-3.4694 -7.5148 17.0623
```

Computed properties:
SG	R-3m, No. 166
DFT formation energy	286	kJ/mol of formula units